# 1
Here is an optimized crystal structure of InRuAu2 from Alexandria. Energies are from PBE-GGA.

abc: 3.3979 3.3979 6.1309
angles: 90.00 90.00 90.00
Closest atoms and distances in Å follow each position.
Element x y z (fractional)
In  0.0000  0.0000  0.0000  4 Ru 2.77, 5 Au 2.92-2.93
Ru  0.5000  0.5000  0.2246  4 In 2.77, 6 Au 2.86-3.08
Au  0.0000  0.0000  0.4770  4 Au 2.85, 4 Ru 2.86, 1 In 2.92
Au  0.5000  0.5000  0.7266  4 Au 2.85, 4 In 2.93, 2 Ru 3.05-3.08

Output
For the energy of formation, the calculation gives 0.151 eV/atom. Its space-group type is P4mm (99).

***

# 2
Here is an optimized crystal structure of InRuBr2 from Alexandria. Energies are from PBE-GGA.

abc: 3.4556 4.5851 6.0799
angles: 90.00 90.00 90.00
Closest atoms and distances in Å follow each position.
Element x y z (fractional)
In  0.0000  0.0000  0.0000  4 Br 2.87
Ru  0.5000  0.0000  0.5000  4 Br 2.87
Br  0.0000  0.5000  0.5000  4 Ru 2.87
Br  0.5000  0.5000  0.0000  4 In 2.87

Output
Its uncorrected formation energy is 0.524 eV/atom. Its space-group type is Pmmm (47). The calculation puts the energy above the most stable polymorph in this dataset at 609 meV/atom.

***

# 3
Here is an optimized crystal structure of LaScZn from Alexandria. Energies are from PBE-GGA.

abc: 5.1767 5.1767 6.3008
angles: 90.00 90.00 120.00
Closest atoms and distances in Å follow each position.
Element x y z (fractional)
La  0.3333  0.6667  0.2500  5 Sc 2.99-3.15
La  0.6667  0.3333  0.7500  5 Sc 2.99-3.15
Sc  0.3333  0.6667  0.7500  5 La 2.99-3.15
Sc  0.6667  0.3333  0.2500  5 La 2.99-3.15
Zn  0.0000  0.0000  0.0000  2 Zn 3.15, 6 La 3.38, 6 Sc 3.38
Zn  0.0000  0.0000  0.5000  2 Zn 3.15, 6 La 3.38, 6 Sc 3.38

Output
For the energy of formation, the calculation gives 0.127 eV/atom. Its space-group type is P6_3/mmc (194). The calculation puts the energy above the most stable polymorph in this dataset at 331 meV/atom.

***

# 4
Here is an optimized crystal structure of AlTlCu2 from Alexandria. Energies are from PBE-GGA.

abc: 3.0732 3.0417 7.3434
angles: 90.00 96.26 90.00
Closest atoms and distances in Å follow each position.
Element x y z (fractional)
Al  0.0000  0.0000  0.0000  8 Cu 2.57
Tl  0.0000  0.0000  0.5000  4 Cu 2.95, 4 Tl 3.04-3.07
Cu  0.4503  0.5000  0.8101  4 Al 2.57, 1 Cu 2.77
Cu  0.5497  0.5000  0.1899  4 Al 2.57, 1 Cu 2.77

Output
For the energy of formation, the calculation gives 0.106 eV/atom. Its space-group type is P2/m (10). The calculation puts the energy above the most stable polymorph in this dataset at 0 meV/atom.

***

Copy entry 4 word for word.
Here is an optimized crystal structure of AlTlCu2 from Alexandria. Energies are from PBE-GGA.

abc: 3.0732 3.0417 7.3434
angles: 90.00 96.26 90.00
Closest atoms and distances in Å follow each position.
Element x y z (fractional)
Al  0.0000  0.0000  0.0000  8 Cu 2.57
Tl  0.0000  0.0000  0.5000  4 Cu 2.95, 4 Tl 3.04-3.07
Cu  0.4503  0.5000  0.8101  4 Al 2.57, 1 Cu 2.77
Cu  0.5497  0.5000  0.1899  4 Al 2.57, 1 Cu 2.77

Output
For the energy of formation, the calculation gives 0.106 eV/atom. Its space-group type is P2/m (10). The calculation puts the energy above the most stable polymorph in this dataset at 0 meV/atom.

***

- Which formula does entry 1 have?
  InRuAu2

***

- Number 1 is which compound?
  InRuAu2